La2PmSm3Ho6: optimized geometry, PBE-GGA.

Summary:
For the calculated density, the calculation gives 7.9 Mg/m³. The calculation puts the density of states at the Fermi level at 14.11 states/eV/cell. For the energy of formation from the pure elements, the calculation gives 0.361 kcal/mol of atoms. Its symmetry is No. 12. The value obtained for the magnetization is 0.00 μB/f.u.

a b c (Å): 6.251 6.251 11.822
angles (deg): 95.04 95.04 120.00
Atoms (fractional coordinates):
Sm: 0.500 0.500 0.500
Ho: 0.085 0.417 0.253
Sm: 0.833 0.167 0.500
Pm: 0.000 0.000 0.000
Ho: 0.752 0.752 0.253
Ho: 0.417 0.085 0.253
Ho: 0.583 0.915 0.747
La: 0.334 0.666 0.000
La: 0.666 0.334 0.000
Ho: 0.915 0.583 0.747
Ho: 0.248 0.248 0.747
Sm: 0.167 0.833 0.500